Here is a relaxed structure of K3Ge5F12 from the Alexandria database. Energies are from PBE.

a = 12.518 Å, b = 12.518 Å, c = 12.518 Å
α = 109.47°, β = 109.47°, γ = 109.47°
Sites, in units of the cell vectors:
1 K 0.125 0.250 0.375
2 K 0.125 0.375 0.750
3 K 0.250 0.375 0.125
4 K 0.250 0.875 0.625
5 K 0.375 0.125 0.250
6 K 0.375 0.750 0.125
7 K 0.625 0.250 0.875
8 K 0.625 0.875 0.750
9 K 0.750 0.125 0.375
10 K 0.750 0.625 0.875
11 K 0.875 0.625 0.250
12 K 0.875 0.750 0.625
13 Ge 0.000 0.000 0.000
14 Ge 0.000 0.000 0.500
15 Ge 0.000 0.500 0.000
16 Ge 0.000 0.500 0.500
17 Ge 0.125 0.750 0.875
18 Ge 0.125 0.875 0.250
19 Ge 0.250 0.125 0.875
20 Ge 0.250 0.625 0.375
21 Ge 0.375 0.250 0.625
22 Ge 0.375 0.625 0.750
23 Ge 0.500 0.000 0.000
24 Ge 0.500 0.000 0.500
25 Ge 0.500 0.500 0.000
26 Ge 0.500 0.500 0.500
27 Ge 0.625 0.375 0.250
28 Ge 0.625 0.750 0.375
29 Ge 0.750 0.375 0.625
30 Ge 0.750 0.875 0.125
31 Ge 0.875 0.125 0.750
32 Ge 0.875 0.250 0.125
33 F 0.023 0.197 0.122
34 F 0.023 0.326 0.901
35 F 0.075 0.697 0.674
36 F 0.075 0.878 0.401
37 F 0.099 0.622 0.425
38 F 0.099 0.977 0.674
39 F 0.122 0.023 0.197
40 F 0.122 0.599 0.925
41 F 0.174 0.197 0.575
42 F 0.174 0.477 0.599
43 F 0.197 0.122 0.023
44 F 0.197 0.575 0.174
45 F 0.303 0.326 0.925
46 F 0.303 0.477 0.378
47 F 0.326 0.901 0.023
48 F 0.326 0.925 0.303
49 F 0.378 0.303 0.477
50 F 0.378 0.575 0.901
51 F 0.401 0.075 0.878
52 F 0.401 0.826 0.523
53 F 0.425 0.099 0.622
54 F 0.425 0.826 0.803
55 F 0.477 0.378 0.303
56 F 0.477 0.599 0.174
57 F 0.523 0.401 0.826
58 F 0.523 0.622 0.697
59 F 0.575 0.174 0.197
60 F 0.575 0.901 0.378
61 F 0.599 0.174 0.477
62 F 0.599 0.925 0.122
63 F 0.622 0.425 0.099
64 F 0.622 0.697 0.523
65 F 0.674 0.075 0.697
66 F 0.674 0.099 0.977
67 F 0.697 0.523 0.622
68 F 0.697 0.674 0.075
69 F 0.803 0.425 0.826
70 F 0.803 0.878 0.977
71 F 0.826 0.523 0.401
72 F 0.826 0.803 0.425
73 F 0.878 0.401 0.075
74 F 0.878 0.977 0.803
75 F 0.901 0.023 0.326
76 F 0.901 0.378 0.575
77 F 0.925 0.122 0.599
78 F 0.925 0.303 0.326
79 F 0.977 0.674 0.099
80 F 0.977 0.803 0.878

Calculated values
* SG: No. 230


Here is a relaxed structure of Na3BiBAsO7 from the Alexandria database. Energies are from PBE.

a = 5.400 Å, b = 7.294 Å, c = 9.590 Å
α = 90.00°, β = 91.22°, γ = 90.00°
Sites, in units of the cell vectors:
1 Na 0.237 0.250 0.439
2 Na 0.245 0.510 0.731
3 Na 0.245 0.990 0.731
4 Na 0.755 0.010 0.269
5 Na 0.755 0.490 0.269
6 Na 0.763 0.750 0.561
7 Bi 0.231 0.750 0.154
8 Bi 0.769 0.250 0.846
9 B 0.268 0.750 0.436
10 B 0.732 0.250 0.564
11 As 0.292 0.250 0.100
12 As 0.708 0.750 0.900
13 O 0.039 0.750 0.359
14 O 0.180 0.066 0.195
15 O 0.180 0.434 0.195
16 O 0.202 0.250 0.925
17 O 0.282 0.750 0.576
18 O 0.391 0.750 0.894
19 O 0.480 0.750 0.351
20 O 0.520 0.250 0.649
21 O 0.609 0.250 0.106
22 O 0.718 0.250 0.424
23 O 0.798 0.750 0.075
24 O 0.820 0.566 0.805
25 O 0.820 0.934 0.805
26 O 0.961 0.250 0.641

Calculated values
* SG: No. 11


Number 1: E_tot -90.150 eV/f.u., uncorrected formation energy -2.0657 eV per atom. Number 2: E_tot -76.614 eV/f.u., uncorrected formation energy -1.7494 eV per atom.